A geometry-optimized RbGaCoCl6 structure. Source: Alexandria via LeMat-Bulk, functional PBE.

**Formation energy without anion corrections**: -1103 meV per atom
**Theoretical density**: 2747 kg/m³
**Volume**: 28.7 Å³/atom
**DOS(E_F)**: 0.1691 states/eV per atom
**Spin magnetization**: 3.00 μB per formula unit
**Raw total energy**: -3.567 eV per atom

Cell: 6.3459 6.3346 7.4158 Å, 89.76 89.53 59.94°
Closest atoms and distances in Å follow each position.
Positions (direct):
Cl (0.0040, 0.3728, 0.3146)  1 Ga 2.42, 1 Co 2.42
Cl (0.3778, 0.0044, 0.6882)  1 Ga 2.40, 1 Co 2.45
Co (0.6686, 0.6627, 0.5000)  6 Cl 2.42-2.45
Cl (0.6178, 0.0044, 0.3118)  1 Ga 2.40, 1 Co 2.45
Ga (0.3334, 0.3332, 0.5000)  6 Cl 2.40-2.42
Cl (0.0047, 0.6248, 0.6851)  1 Ga 2.40, 1 Co 2.45
Rb (0.9999, 0.0001, 0.0000)  6 Cl 3.33-3.34
Cl (0.6231, 0.3729, 0.6853)  1 Ga 2.42, 1 Co 2.42
Cl (0.3704, 0.6248, 0.3149)  1 Ga 2.40, 1 Co 2.45